No. 1
Material: Hf2Ir2W
Method: DFT, GGA-PBE
State: optimized geometry

a b c (Å): 7.440 7.440 3.237
angles (deg): 90.00 90.00 90.00
Fractional positions:
Hf 0.168 0.332 0.000
Hf 0.332 0.832 0.000
Hf 0.668 0.168 0.000
Hf 0.832 0.668 0.000
Ir 0.132 0.632 0.500
Ir 0.368 0.132 0.500
Ir 0.632 0.868 0.500
Ir 0.868 0.368 0.500
W 0.000 0.000 0.500
W 0.500 0.500 0.500

Magnetic moment in μB per atom: 0.000
VASP energy in eV per atom: -10.477
Crystal system: tetragonal

No. 2
Material: Mg2ZrRu
Method: DFT, GGA-PBE
State: optimized geometry

a b c (Å): 5.500 5.500 5.500
angles (deg): 144.02 126.47 66.20
Fractional positions:
Mg 0.000 0.000 0.000
Mg 0.725 0.225 0.500
Zr 0.286 0.786 0.500
Ru 0.492 0.492 0.000

Magnetic moment in μB per atom: 0.000
VASP energy in eV per atom: -5.334
Crystal system: orthorhombic

Copy entry 2 word for word.
Material: Mg2ZrRu
Method: DFT, GGA-PBE
State: optimized geometry

a b c (Å): 5.500 5.500 5.500
angles (deg): 144.02 126.47 66.20
Fractional positions:
Mg 0.000 0.000 0.000
Mg 0.725 0.225 0.500
Zr 0.286 0.786 0.500
Ru 0.492 0.492 0.000

Magnetic moment in μB per atom: 0.000
VASP energy in eV per atom: -5.334
Crystal system: orthorhombic